# 1
A plane-wave DFT calculation with PBE was carried out for a relaxed PuPaSi crystal.

The structure belongs to space group Cmcm (No. 63); the cell edges are 4.5013, 9.8788 and 5.9520 Å and the angles 90.00°, 90.00° and 90.00°. The inequivalent atoms are Pu at (0.0000, 0.0000, 0.0000), Pa at (0.0000, 0.3146, 0.2500) and Si at (0.0000, 0.3720, 0.7500).

For the energy relative to the lowest polymorph listed for this composition, the calculation gives 0 meV/atom. As for the crystal system: orthorhombic. The calculation puts the volume at 22.06 Å³ per atom. As for the density of states at the Fermi level: 24.94 states/eV/cell.

***

# 2
A plane-wave DFT calculation with PBE was carried out for a relaxed PuPaSi2 crystal.

The structure belongs to space group R-3m (No. 166, hexagonal axes); the cell edges are 4.6050, 4.6050 and 14.0078 Å and the angles 90.00°, 90.00° and 120.00°. The inequivalent atoms are Pu at (0.0000, 0.0000, 0.0000), Pa at (0.0000, 0.0000, 0.5000) and Si at (0.0000, 0.0000, 0.2514).

For the energy relative to the lowest polymorph listed for this composition, the calculation gives 165 meV/atom. As for the crystal system: trigonal. The calculation puts the volume at 21.44 Å³ per atom. As for the density of states at the Fermi level: 20.38 states/eV/cell.

***

# 3
A plane-wave DFT calculation with PBE was carried out for a relaxed PuPaSi2 crystal.

The structure belongs to space group Pm (No. 6); the cell edges are 4.2380, 3.8038 and 5.6910 Å and the angles 90.00°, 111.78° and 90.00°. The inequivalent atoms are Pu at (0.0000, 0.0000, 0.0000), Pa at (0.2906, 0.5000, 0.5834), Si at (0.5760, 0.5000, 0.1520) and Si at (0.7180, 0.0000, 0.4379).

For the energy relative to the lowest polymorph listed for this composition, the calculation gives 2 meV/atom. As for the crystal system: monoclinic. The calculation puts the volume at 21.30 Å³ per atom. As for the density of states at the Fermi level: 7.38 states/eV/cell.

***

# 4
A plane-wave DFT calculation with PBE was carried out for a relaxed Pu5Pa2Si3 crystal.

The structure belongs to space group P-1 (No. 2); the cell edges are 6.7825, 7.8962 and 8.2370 Å and the angles 93.31°, 101.90° and 97.32°. The inequivalent atoms are Pu at (0.0096, 0.0614, 0.3233), Pu at (0.0375, 0.4104, 0.1698), Pu at (0.2000, 0.7433, 0.4183), Pu at (0.3861, 0.5580, 0.1242), Pu at (0.4167, 0.0835, 0.6658), Pa at (0.2350, 0.9806, 0.0768), Pa at (0.2413, 0.4471, 0.5857), Si at (0.1616, 0.2698, 0.8729), Si at (0.3604, 0.7659, 0.8269) and Si at (0.4065, 0.2588, 0.3476).

As for the crystal system: triclinic. As for the final energy: -218.4 eV for the cell shown. The calculation puts the volume at 21.33 Å³ per atom. As for the density of states at the Fermi level: 45.27 states/eV/cell.

***

# 5
A plane-wave DFT calculation with PBE was carried out for a relaxed Pu2PaSi6 crystal.

The structure belongs to space group P6/mmm (No. 191); the cell edges are 6.9894, 6.9894 and 3.9410 Å and the angles 90.00°, 90.00° and 120.00°. The inequivalent atoms are Pu at (0.3333, 0.6667, 0.0000), Pa at (0.0000, 0.0000, 0.0000) and Si at (0.0000, 0.3328, 0.5000).

As for the crystal system: hexagonal. As for the final energy: -75.1 eV for the cell shown. The calculation puts the volume at 18.53 Å³ per atom. As for the density of states at the Fermi level: 17.10 states/eV/cell.

***

# 6
A plane-wave DFT calculation with PBE was carried out for a relaxed Pu2PaSi2 crystal.

The structure belongs to space group P4/mbm (No. 127); the cell edges are 7.3839, 7.3839 and 4.0175 Å and the angles 90.00°, 90.00° and 90.00°. The inequivalent atoms are Pu at (0.1798, 0.3202, 0.0000), Pa at (0.0000, 0.0000, 0.5000) and Si at (0.1163, 0.6163, 0.5000).

As for the crystal system: tetragonal. As for the final energy: -101.7 eV for the cell shown. The calculation puts the volume at 21.90 Å³ per atom. As for the density of states at the Fermi level: 33.00 states/eV/cell.